Record 1
The following is a DFT calculation (PBE) of a geometry-optimized FeAs2SeBr structure.

a b c (Å): 4.7743 4.7743 4.6259
angles (deg): 90.00 90.00 90.00
Last column: magnetic moment on the atom in μB.
Fractional positions:
Se  0.0000  0.0000  0.5000  0.18
As  0.0000  0.5000  0.0000  0.03
As  0.5000  0.0000  0.0000  0.03
Fe  0.0000  0.0000  0.0000  1.96
Br  0.5000  0.5000  0.5000  -0.02

Values from the calculation:
**SG**: No. 123
**Magnetic moment**: 2.4 μB/cell
**E**: -4.207 eV/atom

***

Record 2
The following is a DFT calculation (PBE) of a geometry-optimized FeAsSe2Br structure.

a b c (Å): 5.0811 5.0811 5.1463
angles (deg): 90.00 90.00 90.00
Last column: magnetic moment on the atom in μB.
Fractional positions:
Se  0.0000  0.5000  0.0000  0.01
Se  0.5000  0.0000  0.0000  0.01
As  0.0000  0.0000  0.5000  0.15
Br  0.0000  0.0000  0.0000  -0.04
Fe  0.5000  0.5000  0.5000  3.41

Values from the calculation:
**SG**: No. 123
**Magnetic moment**: 3.9 μB/cell
**E**: -2.948 eV/atom

***

Record 3
The following is a DFT calculation (PBE) of a geometry-optimized FeAs2SeBr structure.

a b c (Å): 5.0594 5.0594 5.2063
angles (deg): 90.00 90.00 90.00
Last column: magnetic moment on the atom in μB.
Fractional positions:
As  0.0000  0.5000  0.0000  0.05
As  0.5000  0.0000  0.0000  0.05
Fe  0.5000  0.5000  0.5000  3.41
Se  0.0000  0.0000  0.0000  0.00
Br  0.0000  0.0000  0.5000  0.07

Values from the calculation:
**SG**: No. 123
**Magnetic moment**: 3.9 μB/cell
**E**: -3.414 eV/atom

***

Record 4
The following is a DFT calculation (PBE) of a geometry-optimized FeAsSe2Br structure.

a b c (Å): 4.6556 4.6556 4.8332
angles (deg): 90.00 90.00 90.00
Last column: magnetic moment on the atom in μB.
Fractional positions:
Fe  0.0000  0.0000  0.0000  2.19
Se  0.0000  0.5000  0.0000  0.11
Se  0.5000  0.0000  0.0000  0.11
Br  0.0000  0.0000  0.5000  0.05
As  0.5000  0.5000  0.5000  -0.28

Values from the calculation:
**SG**: No. 123
**Magnetic moment**: 2.1 μB/cell
**E**: -3.900 eV/atom

***

Record 5
The following is a DFT calculation (PBE) of a geometry-optimized FeAsSe2Br structure.

a b c (Å): 5.0595 5.0595 5.0330
angles (deg): 90.00 90.00 90.00
Last column: magnetic moment on the atom in μB.
Fractional positions:
Se  0.5000  0.0000  0.0000  0.07
Se  0.0000  0.5000  0.0000  0.07
Br  0.0000  0.0000  0.5000  0.04
Fe  0.5000  0.5000  0.5000  3.43
As  0.0000  0.0000  0.0000  0.05

Values from the calculation:
**SG**: No. 123
**Magnetic moment**: 4.0 μB/cell
**E**: -3.591 eV/atom

***

Record 6
The following is a DFT calculation (PBE) of a geometry-optimized FeSiAs2Br structure.

a b c (Å): 4.4764 4.4764 5.3015
angles (deg): 90.00 90.00 90.00
Last column: magnetic moment on the atom in μB.
Fractional positions:
As  0.5000  0.0000  0.0000  -0.01
As  0.0000  0.5000  0.0000  -0.01
Br  0.0000  0.0000  0.5000  0.01
Fe  0.0000  0.0000  0.0000  0.85
Si  0.5000  0.5000  0.5000  0.03

Values from the calculation:
**SG**: No. 123
**Magnetic moment**: 1.0 μB/cell
**E**: -4.329 eV/atom

***

Record 7
The following is a DFT calculation (PBE) of a geometry-optimized TaFeAs2Br structure.

a b c (Å): 4.5160 4.5160 4.9155
angles (deg): 90.00 90.00 90.00
Last column: magnetic moment on the atom in μB.
Fractional positions:
Ta  0.5000  0.5000  0.5000  1.60
As  0.0000  0.5000  0.0000  -0.06
As  0.5000  0.0000  0.0000  -0.06
Fe  0.0000  0.0000  0.0000  1.23
Br  0.0000  0.0000  0.5000  -0.04

Values from the calculation:
**SG**: No. 123
**Magnetic moment**: 3.4 μB/cell
**E**: -5.339 eV/atom

***

Record 8
The following is a DFT calculation (PBE) of a geometry-optimized TaFeAs2Br structure.

a b c (Å): 5.0054 5.0054 5.1466
angles (deg): 90.00 90.00 90.00
Last column: magnetic moment on the atom in μB.
Fractional positions:
As  0.0000  0.5000  0.0000  -0.01
As  0.5000  0.0000  0.0000  -0.01
Br  0.0000  0.0000  0.5000  0.05
Ta  0.0000  0.0000  0.0000  0.11
Fe  0.5000  0.5000  0.5000  3.39

Values from the calculation:
**SG**: No. 123
**Magnetic moment**: 3.9 μB/cell
**E**: -5.529 eV/atom

***

For reference, ρ by record: 5.7; 4.6; 4.5; 5.8; 4.8; 4.9; 7.7; 6.0 g/cm³.